# DyNbBi, relaxed, DFT PBE-GGA
# SG	F-43m, No. 216
# calculated volume	332.12	Å³/cell
# final energy	-71.3	eV per cell
data_DyNbBi
_cell_length_a 6.925
_cell_length_b 6.925
_cell_length_c 6.925
_cell_angle_alpha 90.00
_cell_angle_beta 90.00
_cell_angle_gamma 90.00
_space_group_name_H-M_alt 'P 1'
_space_group_IT_number 1
loop_
_space_group_symop_operation_xyz
'x,y,z'
loop_
_atom_site_label
_atom_site_type_symbol
_atom_site_fract_x
_atom_site_fract_y
_atom_site_fract_z
Dy1 Dy 0.000 0.000 0.000
Dy2 Dy 0.000 0.500 0.500
Dy3 Dy 0.500 0.000 0.500
Dy4 Dy 0.500 0.500 0.000
Nb1 Nb 0.000 0.000 0.500
Nb2 Nb 0.000 0.500 0.000
Nb3 Nb 0.500 0.000 0.000
Nb4 Nb 0.500 0.500 0.500
Bi1 Bi 0.250 0.250 0.250
Bi2 Bi 0.250 0.750 0.750
Bi3 Bi 0.750 0.250 0.750
Bi4 Bi 0.750 0.750 0.250

=====

# NdDy2Bi3, relaxed, DFT PBE-GGA
# SG	P-3m1, No. 164
# calculated volume	192.10	Å³/cell
# final energy	-31.5	eV per cell
data_NdDy2Bi3
_cell_length_a 4.490
_cell_length_b 4.490
_cell_length_c 11.001
_cell_angle_alpha 90.00
_cell_angle_beta 90.00
_cell_angle_gamma 120.00
_space_group_name_H-M_alt 'P 1'
_space_group_IT_number 1
loop_
_space_group_symop_operation_xyz
'x,y,z'
loop_
_atom_site_label
_atom_site_type_symbol
_atom_site_fract_x
_atom_site_fract_y
_atom_site_fract_z
Nd1 Nd 0.000 0.000 0.000
Dy1 Dy 0.333 0.667 0.335
Dy2 Dy 0.667 0.333 0.665
Bi1 Bi 0.000 0.000 0.500
Bi2 Bi 0.333 0.667 0.827
Bi3 Bi 0.667 0.333 0.173

=====

# NdDyBi2Se2, relaxed, DFT PBE-GGA
# SG	P4mm, No. 99
# calculated volume	167.97	Å³/cell
# final energy	-31.8	eV per cell
data_NdDyBi2Se2
_cell_length_a 4.303
_cell_length_b 4.303
_cell_length_c 9.072
_cell_angle_alpha 90.00
_cell_angle_beta 90.00
_cell_angle_gamma 90.00
_space_group_name_H-M_alt 'P 1'
_space_group_IT_number 1
loop_
_space_group_symop_operation_xyz
'x,y,z'
loop_
_atom_site_label
_atom_site_type_symbol
_atom_site_fract_x
_atom_site_fract_y
_atom_site_fract_z
Nd1 Nd 0.000 0.000 0.000
Dy1 Dy 0.500 0.500 0.391
Bi1 Bi 0.000 0.500 0.693
Bi2 Bi 0.500 0.000 0.693
Se1 Se 0.000 0.000 0.328
Se2 Se 0.500 0.500 0.075